1.
Material: K2MoBr5
Method: DFT, PBE
State: optimized geometry

Unit cell a=5.3162 b=16.8868 c=14.6386 alpha=90.00 beta=90.00 gamma=90.00
Last column: nearest neighbours and their distance in Å.
Space group Cmcm (No. 63)
Unique sites:
K: 0.0000 0.1428 0.0664  5 Br 3.21-3.39
Mo: 0.0000 0.1516 0.7500  6 Br 2.57-2.69
Br: 0.0000 0.0440 0.6260  1 Mo 2.57
Br: 0.0000 0.2617 0.6200  1 Mo 2.66
Br: 0.0000 0.3227 0.2500  2 Mo 2.69

Crystal system: orthorhombic
Total DFT energy (no corrections), eV/atom: -3.731
Uncorrected formation energy, kJ per mole of atoms: -102.0
D(E_F), states/eV per cell: 0.39
Relative energy among the computed polymorphs, kJ per mole of atoms: 0.0

=====

2.
Material: KMoBr2
Method: DFT, PBE
State: optimized geometry

Unit cell a=4.2046 b=4.2046 c=19.9452 alpha=90.00 beta=90.00 gamma=120.00
Last column: nearest neighbours and their distance in Å.
Space group R-3m (No. 166, hexagonal axes)
Unique sites:
K: 0.0000 0.0000 0.0000  6 Br 3.23
Mo: 0.0000 0.0000 0.5000  6 Br 2.71
Br: 0.0000 0.0000 0.2268  3 Mo 2.71

Crystal system: trigonal
Total DFT energy (no corrections), eV/atom: -3.857
Uncorrected formation energy, kJ per mole of atoms: -3.7
D(E_F), states/eV per cell: 11.25
Relative energy among the computed polymorphs, kJ per mole of atoms: 16.0

=====

3.
Material: KMoBr2
Method: DFT, PBE
State: optimized geometry

Unit cell a=3.9769 b=4.2881 c=14.5720 alpha=90.00 beta=90.00 gamma=90.00
Last column: nearest neighbours and their distance in Å.
Space group Imm2 (No. 44)
Unique sites:
K: 0.0000 0.0000 0.0000  6 Br 3.27-3.44
Mo: 0.0000 0.5000 0.7386  6 Br 3.03-3.07
Br: 0.0000 0.0000 0.3990  2 Mo 3.07, 4 K 3.27
Br: 0.0000 0.5000 0.1842  4 Mo 3.03

Crystal system: orthorhombic
Total DFT energy (no corrections), eV/atom: -3.915
Uncorrected formation energy, kJ per mole of atoms: -9.3
D(E_F), states/eV per cell: 1.72
Relative energy among the computed polymorphs, kJ per mole of atoms: 10.5

=====

4.
Material: KMoBr2
Method: DFT, PBE
State: optimized geometry

Unit cell a=5.4487 b=5.4487 c=3.7660 alpha=90.00 beta=90.00 gamma=90.00
Last column: nearest neighbours and their distance in Å.
Space group P4/mmm (No. 123)
Unique sites:
K: 0.0000 0.0000 0.0000  8 Br 3.31
Mo: 0.5000 0.5000 0.0000  8 Br 3.31
Br: 0.0000 0.5000 0.5000  4 Mo 3.31, 4 K 3.31

Crystal system: tetragonal
Total DFT energy (no corrections), eV/atom: -3.850
Uncorrected formation energy, kJ per mole of atoms: -3.1
D(E_F), states/eV per cell: 1.16
Relative energy among the computed polymorphs, kJ per mole of atoms: 16.7